DFT (PBE with a Hubbard U) results for a relaxed Mg2Nb2VO8 crystal.

a = 10.1117 Å, b = 10.1117 Å, c = 5.2223 Å
α = 89.33°, β = 89.33°, γ = 34.79°
Last column: magnetic moment on the atom in μB.
Positions (direct):
Mg1 0.5878 0.8701 0.7471  0.00
Mg2 0.1299 0.4122 0.7529  0.00
Mg3 0.4122 0.1299 0.2529  0.00
Mg4 0.8701 0.5878 0.2471  0.00
Nb1 0.7142 0.0523 0.7547  0.09
Nb2 0.9477 0.2858 0.7453  0.09
Nb3 0.2858 0.9477 0.2453  0.09
Nb4 0.0523 0.7142 0.2547  0.09
V1 0.3503 0.6497 0.7500  2.63
V2 0.6497 0.3503 0.2500  2.63
O1 0.8180 0.0379 0.4178  -0.01
O2 0.9621 0.1820 0.0822  -0.01
O3 0.1820 0.9621 0.5822  -0.01
O4 0.0379 0.8180 0.9178  -0.01
O5 0.5644 0.3167 0.9066  -0.03
O6 0.6833 0.4356 0.5934  -0.03
O7 0.4356 0.6833 0.0934  -0.03
O8 0.3167 0.5644 0.4066  -0.03
O9 0.7070 0.9168 0.0411  0.00
O10 0.0832 0.2930 0.4589  0.00
O11 0.1637 0.4535 0.1139  0.00
O12 0.5465 0.8363 0.3861  0.00
O13 0.8363 0.5465 0.8861  0.00
O14 0.4535 0.1637 0.6139  0.00
O15 0.9168 0.7070 0.5411  0.00
O16 0.2930 0.0832 0.9589  0.00

VASP energy   -7.935 eV per atom
Space group   C2/c (15)